Record 1
A plane-wave DFT calculation with PBE-GGA was carried out for a geometry-optimized NpInPt structure.

Values from the calculation:
Density = 14.203 g cm⁻³
ΔE_f = -0.808 eV per formula unit
DOS(E_F) = 2.220 states/eV per atom

a b c (Å): 6.5145 6.5145 6.5145
angles (deg): 151.22 151.22 41.15
With the nearest neighbours (Å) after each atom.
Positions (direct):
Np (0.0000, 0.0000, 0.0000)  4 Pt 2.97, 4 Np 3.24
In (0.3001, 0.3001, 0.0000)  4 Pt 2.89, 4 In 3.24
Pt (0.6553, 0.6553, 0.0000)  4 In 2.89, 4 Np 2.97, 4 Pt 3.24

=====

Record 2
A plane-wave DFT calculation with PBE-GGA was carried out for a geometry-optimized Cu2RhPbW structure.

Values from the calculation:
Density = 10.001 g cm⁻³
ΔE_f = 8.348 eV per formula unit
DOS(E_F) = 2.702 states/eV per atom

a b c (Å): 4.5634 4.5634 4.9517
angles (deg): 90.00 90.00 90.00
With the nearest neighbours (Å) after each atom.
Positions (direct):
Cu (0.0000, 0.5000, 0.0000)  2 Rh 2.28
Cu (0.5000, 0.0000, 0.0000)  2 Rh 2.28
Rh (0.0000, 0.0000, 0.0000)  4 Cu 2.28, 2 Pb 2.48
Pb (0.0000, 0.0000, 0.5000)  2 Rh 2.48
W (0.5000, 0.5000, 0.5000)  4 Pb 3.23, 8 Cu 3.37

=====

Record 3
A plane-wave DFT calculation with PBE-GGA was carried out for a geometry-optimized SrCuPt2 structure.

Values from the calculation:
Density = 11.992 g cm⁻³
ΔE_f = -0.795 eV per formula unit
DOS(E_F) = 0.461 states/eV per atom

a b c (Å): 5.2049 5.2049 5.2049
angles (deg): 132.60 132.60 69.28
With the nearest neighbours (Å) after each atom.
Positions (direct):
Sr (0.0000, 0.0000, 0.0000)  4 Cu 2.96, 8 Pt 2.99
Cu (0.5000, 0.5000, 0.0000)  4 Sr 2.96, 8 Pt 2.99
Pt (0.2500, 0.7500, 0.5000)  4 Pt 2.96, 4 Cu 2.99, 4 Sr 2.99
Pt (0.7500, 0.2500, 0.5000)  4 Pt 2.96, 4 Cu 2.99, 4 Sr 2.99

=====

Record 4
A plane-wave DFT calculation with PBE-GGA was carried out for a geometry-optimized Pm2CuBr2 structure.

Values from the calculation:
Density = 5.336 g cm⁻³
DOS(E_F) = 0.849 states/eV per atom
Uncorrected formation energy = -5.149 eV per formula unit

a b c (Å): 11.3916 11.3916 11.3916
angles (deg): 20.57 20.57 20.57
With the nearest neighbours (Å) after each atom.
Positions (direct):
Pm (0.1145, 0.1145, 0.1145)  3 Cu 2.92, 3 Br 3.03
Pm (0.8855, 0.8855, 0.8855)  3 Cu 2.92, 3 Br 3.03
Cu (0.5000, 0.5000, 0.5000)  6 Pm 2.92
Br (0.2758, 0.2758, 0.2758)  3 Pm 3.03
Br (0.7242, 0.7242, 0.7242)  3 Pm 3.03

=====

Record 5
A plane-wave DFT calculation with PBE-GGA was carried out for a geometry-optimized NbTcTe4 structure.

Values from the calculation:
Density = 7.273 g cm⁻³
DOS(E_F) = 0.460 states/eV per atom
Uncorrected formation energy = -2.097 eV per formula unit

a b c (Å): 7.5329 7.5329 6.4403
angles (deg): 109.45 109.45 27.80
With the nearest neighbours (Å) after each atom.
Positions (direct):
Nb (0.0000, 0.0000, 0.0000)  6 Te 2.73-2.90, 2 Tc 2.96
Tc (0.5161, 0.5161, 0.3753)  6 Te 2.71-2.80, 2 Nb 2.96
Te (0.1555, 0.1555, 0.3861)  2 Tc 2.71, 1 Nb 2.73
Te (0.3574, 0.3574, 0.9982)  1 Tc 2.72, 2 Nb 2.76
Te (0.6107, 0.6107, 0.8334)  1 Tc 2.80, 2 Nb 2.87
Te (0.9080, 0.9080, 0.5234)  2 Tc 2.78, 1 Nb 2.90